## Dy5Zn4Ir (PBE)

Data for a relaxed structure of Dy5Zn4Ir.

Cell and atoms, written as POSCAR:
```
Dy5Zn4Ir
1.0
-3.1015 -1.2238 -1.2117
1.5867 -3.0008 -1.0308
-3.3318 -7.1834 15.7837
Dy Zn Ir
5 4 1
direct
0.5000 0.5000 0.0909
0.5000 0.5000 0.2974
0.5000 0.5000 0.5000
0.5000 0.5000 0.7026
0.5000 0.5000 0.9091
0.0000 0.0000 0.1983
0.0000 0.0000 0.3982
0.0000 0.0000 0.6018
0.0000 0.0000 0.8017
0.0000 0.0000 0.0000
```

Properties
- formation energy from the elements (eV per formula unit) = -4.57
- D(E_F) (states/eV/cell) = 7.79
- total DFT energy (no corrections) (eV per atom) = -4.15